1.
{"formula": "Sr12N5O3", "functional": "PBE", "state": "relaxed", "lattice_angstrom": [[13.663, 0.000, 0.000], [-4.554, 12.882, 0.000], [-4.554, -6.441, 11.156]], "species": ["O", "O", "O", "O", "O", "O", "O", "O", "O", "O", "O", "O", "N", "N", "N", "N", "N", "N", "N", "N", "N", "N", "N", "N", "N", "N", "N", "N", "N", "N", "N", "N", "Sr", "Sr", "Sr", "Sr", "Sr", "Sr", "Sr", "Sr", "Sr", "Sr", "Sr", "Sr", "Sr", "Sr", "Sr", "Sr", "Sr", "Sr", "Sr", "Sr", "Sr", "Sr", "Sr", "Sr", "Sr", "Sr", "Sr", "Sr", "Sr", "Sr", "Sr", "Sr", "Sr", "Sr", "Sr", "Sr", "Sr", "Sr", "Sr", "Sr", "Sr", "Sr", "Sr", "Sr", "Sr", "Sr", "Sr", "Sr"], "fractional_positions": [[0.750, 0.375, 0.125], [0.875, 0.750, 0.125], [0.375, 0.750, 0.625], [0.250, 0.125, 0.375], [0.875, 0.125, 0.250], [0.375, 0.625, 0.250], [0.625, 0.375, 0.750], [0.125, 0.875, 0.750], [0.750, 0.875, 0.625], [0.625, 0.250, 0.375], [0.125, 0.250, 0.875], [0.250, 0.625, 0.875], [0.125, 0.375, 0.250], [0.000, 0.500, 0.000], [0.000, 0.000, 0.000], [0.375, 0.250, 0.125], [0.500, 0.000, 0.500], [0.500, 0.500, 0.000], [0.125, 0.750, 0.375], [0.750, 0.125, 0.875], [0.750, 0.625, 0.375], [0.375, 0.125, 0.750], [0.625, 0.875, 0.250], [0.500, 0.500, 0.500], [0.500, 0.000, 0.000], [0.000, 0.000, 0.500], [0.250, 0.375, 0.625], [0.250, 0.875, 0.125], [0.000, 0.500, 0.500], [0.875, 0.250, 0.625], [0.625, 0.750, 0.875], [0.875, 0.625, 0.750], [0.710, 0.132, 0.034], [0.323, 0.534, 0.401], [0.966, 0.368, 0.290], [0.534, 0.210, 0.132], [0.578, 0.710, 0.677], [0.966, 0.599, 0.177], [0.323, 0.790, 0.422], [0.099, 0.922, 0.132], [0.599, 0.966, 0.677], [0.710, 0.578, 0.177], [0.790, 0.466, 0.368], [0.823, 0.901, 0.034], [0.132, 0.710, 0.534], [0.368, 0.401, 0.078], [0.078, 0.901, 0.368], [0.422, 0.132, 0.599], [0.078, 0.177, 0.210], [0.466, 0.677, 0.099], [0.823, 0.922, 0.290], [0.132, 0.422, 0.099], [0.368, 0.966, 0.790], [0.599, 0.632, 0.422], [0.901, 0.823, 0.534], [0.790, 0.323, 0.922], [0.401, 0.368, 0.578], [0.099, 0.177, 0.466], [0.210, 0.677, 0.078], [0.177, 0.078, 0.710], [0.632, 0.034, 0.210], [0.868, 0.578, 0.901], [0.534, 0.323, 0.901], [0.578, 0.868, 0.401], [0.922, 0.823, 0.790], [0.922, 0.099, 0.632], [0.868, 0.290, 0.466], [0.177, 0.099, 0.966], [0.632, 0.599, 0.922], [0.401, 0.034, 0.323], [0.290, 0.422, 0.823], [0.210, 0.534, 0.632], [0.901, 0.078, 0.868], [0.677, 0.210, 0.578], [0.466, 0.790, 0.868], [0.034, 0.401, 0.823], [0.422, 0.290, 0.323], [0.034, 0.632, 0.710], [0.677, 0.466, 0.599], [0.290, 0.868, 0.966]], "magnetic_moment_mub_per_fu": 1.5, "n_ef_per_ev_atom": 0.305, "spacegroup": "No. 230", "dft_energy_ev_per_atom": -4.65}

=====

2.
{"formula": "KCaHg2F8", "functional": "PBE", "state": "relaxed", "lattice_angstrom": [[-5.415, -1.392, 1.115], [1.685, -5.160, 1.742], [2.443, 5.238, 3.825]], "species": ["K", "Ca", "Hg", "Hg", "F", "F", "F", "F", "F", "F", "F", "F"], "fractional_positions": [[0.750, 0.250, 0.500], [0.000, 0.000, 0.000], [0.500, 0.500, 0.000], [0.250, 0.750, 0.500], [0.884, 0.853, 0.235], [0.350, 0.382, 0.235], [0.618, 0.650, 0.765], [0.147, 0.115, 0.765], [0.885, 0.382, 0.235], [0.350, 0.853, 0.235], [0.147, 0.650, 0.765], [0.618, 0.116, 0.765]], "magnetic_moment_mub_per_fu": 1.1, "n_ef_per_ev_atom": 0.812, "spacegroup": "No. 119", "dft_energy_ev_per_atom": -3.71}

=====

3.
{"formula": "MnGaPd3", "functional": "PBE", "state": "relaxed", "lattice_angstrom": [[-5.283, 2.853, -4.978], [1.545, -2.561, -5.916], [-4.650, -4.691, -0.562]], "species": ["Mn", "Mn", "Mn", "Mn", "Ga", "Ga", "Ga", "Ga", "Pd", "Pd", "Pd", "Pd", "Pd", "Pd", "Pd", "Pd", "Pd", "Pd", "Pd", "Pd"], "fractional_positions": [[0.637, 0.419, 0.846], [0.863, 0.154, 0.581], [0.363, 0.581, 0.154], [0.137, 0.846, 0.419], [0.250, 0.982, 0.018], [0.750, 0.018, 0.982], [0.250, 0.442, 0.558], [0.750, 0.558, 0.442], [0.685, 0.659, 0.088], [0.815, 0.912, 0.341], [0.315, 0.341, 0.912], [0.185, 0.088, 0.659], [0.930, 0.260, 0.028], [0.570, 0.972, 0.740], [0.070, 0.740, 0.972], [0.430, 0.028, 0.260], [0.416, 0.694, 0.618], [0.084, 0.382, 0.306], [0.584, 0.306, 0.382], [0.916, 0.618, 0.694]], "magnetic_moment_mub_per_fu": 4.1, "n_ef_per_ev_atom": 0.491, "spacegroup": "No. 15", "dft_energy_ev_per_atom": -5.78}

=====

4.
{"formula": "AgCNF2", "functional": "PBE", "state": "relaxed", "lattice_angstrom": [[4.139, 0.000, 0.000], [0.000, 4.139, 0.000], [0.000, 0.000, 4.102]], "species": ["C", "N", "Ag", "F", "F"], "fractional_positions": [[0.500, 0.500, 0.500], [0.000, 0.000, 0.500], [0.000, 0.000, 0.000], [0.000, 0.500, 0.000], [0.500, 0.000, 0.000]], "magnetic_moment_mub_per_fu": 0.9, "n_ef_per_ev_atom": 0.999, "spacegroup": "No. 123", "dft_energy_ev_per_atom": -3.08}

=====

5.
{"formula": "TaB2Os", "functional": "PBE", "state": "relaxed", "lattice_angstrom": [[-1.579, -1.659, 4.041], [-1.815, -3.659, -2.212], [2.832, -5.316, 1.593]], "species": ["B", "B", "B", "B", "Os", "Os", "Ta", "Ta"], "fractional_positions": [[0.669, 0.125, 0.250], [0.081, 0.625, 0.250], [0.375, 0.331, 0.750], [0.875, 0.919, 0.750], [0.000, 0.000, 0.000], [0.750, 0.250, 0.500], [0.500, 0.500, 0.000], [0.250, 0.750, 0.500]], "magnetic_moment_mub_per_fu": 0.0, "n_ef_per_ev_atom": 0.737, "spacegroup": "No. 122", "dft_energy_ev_per_atom": -8.52}

=====

6.
{"formula": "Sm3Dy2Th2", "functional": "PBE", "state": "relaxed", "lattice_angstrom": [[-2.781, -1.690, 1.217], [4.022, -7.557, -1.304], [2.249, 4.999, 7.123]], "species": ["Sm", "Sm", "Sm", "Dy", "Dy", "Th", "Th"], "fractional_positions": [[0.000, 0.500, 0.000], [0.216, 0.796, 0.431], [0.784, 0.204, 0.569], [0.563, 0.908, 0.126], [0.437, 0.092, 0.874], [0.848, 0.657, 0.697], [0.152, 0.343, 0.303]], "magnetic_moment_mub_per_fu": 0.0, "n_ef_per_ev_atom": 1.547, "spacegroup": "No. 12", "dft_energy_ev_per_atom": -5.32}

=====

7.
{"formula": "BeRe2As", "functional": "PBE", "state": "relaxed", "lattice_angstrom": [[-1.683, 4.386, 0.720], [-3.759, 0.841, -2.784], [1.454, -3.004, 3.384]], "species": ["Re", "Re", "As", "Be"], "fractional_positions": [[0.051, 0.051, 0.000], [0.449, 0.449, 0.000], [0.750, 0.250, 0.500], [0.250, 0.750, 0.500]], "magnetic_moment_mub_per_fu": 0.0, "n_ef_per_ev_atom": 0.636, "spacegroup": "No. 71", "dft_energy_ev_per_atom": -7.91}

=====

8.
{"formula": "ZrAlIr2", "functional": "PBE", "state": "relaxed", "lattice_angstrom": [[5.158, -0.002, -0.015], [2.308, 4.613, 0.015], [-3.725, -2.319, 2.712]], "species": ["Ir", "Ir", "Al", "Zr"], "fractional_positions": [[0.000, 0.000, 0.000], [0.750, 0.250, 0.500], [0.250, 0.750, 0.500], [0.500, 0.500, 0.000]], "magnetic_moment_mub_per_fu": 0.0, "n_ef_per_ev_atom": 0.400, "spacegroup": "No. 119", "dft_energy_ev_per_atom": -8.25}

=====

9.
{"formula": "SrRe2P", "functional": "PBE", "state": "relaxed", "lattice_angstrom": [[-0.919, -5.140, 2.556], [-3.583, -0.832, 4.501], [0.208, 2.497, -5.245]], "species": ["Sr", "Re", "Re", "P"], "fractional_positions": [[0.500, 0.500, 0.000], [0.750, 0.250, 0.500], [0.250, 0.750, 0.500], [0.000, 0.000, 0.000]], "magnetic_moment_mub_per_fu": 0.0, "n_ef_per_ev_atom": 0.730, "spacegroup": "No. 139", "dft_energy_ev_per_atom": -7.03}

=====

10.
{"formula": "HoBi2Pb", "functional": "PBE", "state": "relaxed", "lattice_angstrom": [[6.252, -0.090, 2.794], [-2.753, 5.918, 2.080], [0.647, -0.090, 6.817]], "species": ["Ho", "Ho", "Bi", "Bi", "Bi", "Bi", "Pb", "Pb"], "fractional_positions": [[0.999, 0.249, 0.750], [0.001, 0.751, 0.250], [0.499, 0.251, 0.750], [0.000, 0.749, 0.750], [0.000, 0.251, 0.250], [0.501, 0.749, 0.250], [0.499, 0.249, 0.250], [0.501, 0.751, 0.750]], "magnetic_moment_mub_per_fu": 0.0, "n_ef_per_ev_atom": 0.577, "spacegroup": "No. 74", "dft_energy_ev_per_atom": -4.33}

=====

11.
{"formula": "NaTl2Hg5Pb2", "functional": "PBE", "state": "relaxed", "lattice_angstrom": [[4.679, 0.000, 0.000], [0.000, 11.236, 0.000], [0.000, 0.000, 11.236]], "species": ["Na", "Na", "Tl", "Tl", "Tl", "Tl", "Hg", "Hg", "Hg", "Hg", "Hg", "Hg", "Hg", "Hg", "Hg", "Hg", "Pb", "Pb", "Pb", "Pb"], "fractional_positions": [[0.000, 0.000, 0.000], [0.000, 0.500, 0.500], [0.000, 0.669, 0.169], [0.000, 0.331, 0.831], [0.000, 0.169, 0.331], [0.000, 0.831, 0.669], [0.500, 0.199, 0.022], [0.500, 0.801, 0.978], [0.500, 0.022, 0.801], [0.500, 0.699, 0.478], [0.500, 0.978, 0.199], [0.500, 0.301, 0.522], [0.500, 0.522, 0.699], [0.500, 0.478, 0.301], [0.500, 0.500, 0.000], [0.500, 0.000, 0.500], [0.000, 0.133, 0.633], [0.000, 0.867, 0.367], [0.000, 0.633, 0.867], [0.000, 0.367, 0.133]], "magnetic_moment_mub_per_fu": 0.0, "n_ef_per_ev_atom": 0.247, "spacegroup": "No. 127", "dft_energy_ev_per_atom": -1.52}

=====

12.
{"formula": "Tm4Mg5Al2", "functional": "PBE", "state": "relaxed", "lattice_angstrom": [[3.420, 0.000, 0.000], [0.000, 7.943, 0.012], [0.000, -0.753, 10.068]], "species": ["Tm", "Tm", "Tm", "Tm", "Mg", "Mg", "Mg", "Mg", "Mg", "Al", "Al"], "fractional_positions": [[0.500, 0.734, 0.556], [0.500, 0.157, 0.876], [0.500, 0.266, 0.444], [0.500, 0.843, 0.124], [0.000, 0.572, 0.298], [0.000, 0.192, 0.164], [0.000, 0.500, 0.000], [0.000, 0.808, 0.836], [0.000, 0.428, 0.702], [0.000, 0.056, 0.629], [0.000, 0.944, 0.371]], "magnetic_moment_mub_per_fu": 0.0, "n_ef_per_ev_atom": 0.724, "spacegroup": "No. 10", "dft_energy_ev_per_atom": -3.16}

=====

13.
{"formula": "BaTa3B", "functional": "PBE", "state": "relaxed", "lattice_angstrom": [[-4.305, -2.544, -0.819], [2.589, -3.585, -2.474], [0.662, -2.521, 4.346]], "species": ["B", "Ba", "Ta", "Ta", "Ta"], "fractional_positions": [[0.500, 0.500, 0.500], [0.000, 0.000, 0.000], [0.000, 0.500, 0.000], [0.000, 0.000, 0.500], [0.500, 0.000, 0.000]], "magnetic_moment_mub_per_fu": 0.0, "n_ef_per_ev_atom": 0.644, "spacegroup": "No. 221", "dft_energy_ev_per_atom": -4.94}

=====

14.
{"formula": "Na3P3Pt2", "functional": "PBE", "state": "relaxed", "lattice_angstrom": [[4.119, 0.000, 0.000], [-2.060, 5.058, 0.000], [0.000, 0.000, 13.749]], "species": ["Na", "Na", "Na", "Na", "Na", "Na", "P", "P", "P", "P", "P", "P", "Pt", "Pt", "Pt", "Pt"], "fractional_positions": [[0.904, 0.808, 0.374], [0.096, 0.192, 0.874], [0.904, 0.808, 0.126], [0.096, 0.192, 0.626], [0.596, 0.192, 0.250], [0.404, 0.808, 0.750], [0.607, 0.213, 0.472], [0.393, 0.787, 0.972], [0.607, 0.213, 0.028], [0.393, 0.787, 0.528], [0.296, 0.593, 0.250], [0.704, 0.407, 0.750], [0.810, 0.620, 0.905], [0.190, 0.380, 0.405], [0.810, 0.620, 0.595], [0.190, 0.380, 0.095]], "magnetic_moment_mub_per_fu": 0.0, "n_ef_per_ev_atom": 0.509, "spacegroup": "No. 63", "dft_energy_ev_per_atom": -4.48}

=====

15.
{"formula": "Nb8GaGe2", "functional": "PBE", "state": "relaxed", "lattice_angstrom": [[4.964, -0.233, -0.350], [-1.137, 6.816, -0.214], [-1.137, -2.822, 6.208]], "species": ["Nb", "Nb", "Nb", "Nb", "Nb", "Nb", "Nb", "Nb", "Ga", "Ge", "Ge"], "fractional_positions": [[0.892, 0.911, 0.680], [0.892, 0.680, 0.911], [0.337, 0.618, 0.618], [0.500, 0.764, 0.236], [0.500, 0.236, 0.764], [0.663, 0.382, 0.382], [0.108, 0.320, 0.089], [0.108, 0.089, 0.320], [0.500, 0.000, 0.000], [0.000, 0.313, 0.687], [0.000, 0.687, 0.313]], "magnetic_moment_mub_per_fu": 0.0, "n_ef_per_ev_atom": 0.877, "spacegroup": "No. 12", "dft_energy_ev_per_atom": -8.48}

=====

16.
{"formula": "La5Pr2Al", "functional": "PBE", "state": "relaxed", "lattice_angstrom": [[-3.424, -1.464, 4.056], [3.371, -6.188, 0.613], [8.729, 5.690, 9.423]], "species": ["La", "La", "La", "La", "La", "La", "La", "La", "La", "La", "Pr", "Pr", "Pr", "Pr", "Al", "Al"], "fractional_positions": [[0.500, 0.326, 0.103], [0.500, 0.674, 0.897], [0.500, 0.826, 0.397], [0.500, 0.174, 0.603], [0.000, 0.920, 0.731], [0.000, 0.080, 0.269], [0.000, 0.420, 0.769], [0.000, 0.580, 0.231], [0.000, 0.500, 0.500], [0.000, 0.000, 0.000], [0.500, 0.340, 0.355], [0.500, 0.660, 0.645], [0.500, 0.160, 0.855], [0.500, 0.840, 0.145], [0.000, 0.000, 0.500], [0.000, 0.500, 0.000]], "magnetic_moment_mub_per_fu": 0.0, "n_ef_per_ev_atom": 1.596, "spacegroup": "No. 55", "dft_energy_ev_per_atom": -4.77}

=====

17.
{"formula": "PmNdSmAg", "functional": "PBE", "state": "relaxed", "lattice_angstrom": [[5.510, 0.000, 0.000], [2.755, 4.772, 0.000], [2.755, 1.591, 4.499]], "species": ["Nd", "Ag", "Sm", "Pm"], "fractional_positions": [[0.500, 0.500, 0.500], [0.250, 0.250, 0.250], [0.000, 0.000, 0.000], [0.750, 0.750, 0.750]], "magnetic_moment_mub_per_fu": 0.0, "n_ef_per_ev_atom": 1.722, "spacegroup": "No. 216", "dft_energy_ev_per_atom": -4.18}

=====

18.
{"formula": "K6Hg23", "functional": "PBE", "state": "relaxed", "lattice_angstrom": [[9.367, 0.000, 5.408], [3.122, 8.831, 5.408], [0.000, 0.000, 10.816]], "species": ["K", "K", "K", "K", "K", "K", "Hg", "Hg", "Hg", "Hg", "Hg", "Hg", "Hg", "Hg", "Hg", "Hg", "Hg", "Hg", "Hg", "Hg", "Hg", "Hg", "Hg", "Hg", "Hg", "Hg", "Hg", "Hg", "Hg"], "fractional_positions": [[0.222, 0.778, 0.778], [0.778, 0.222, 0.222], [0.222, 0.222, 0.778], [0.778, 0.778, 0.222], [0.222, 0.778, 0.222], [0.778, 0.222, 0.778], [0.500, 0.500, 0.500], [0.500, 0.000, 0.000], [0.000, 0.500, 0.500], [0.500, 0.500, 0.000], [0.000, 0.000, 0.500], [0.500, 0.000, 0.500], [0.000, 0.500, 0.000], [0.140, 0.620, 0.620], [0.620, 0.620, 0.140], [0.620, 0.140, 0.620], [0.620, 0.620, 0.620], [0.380, 0.380, 0.860], [0.860, 0.380, 0.380], [0.380, 0.860, 0.380], [0.380, 0.380, 0.380], [0.493, 0.836, 0.836], [0.836, 0.836, 0.493], [0.836, 0.493, 0.836], [0.836, 0.836, 0.836], [0.164, 0.164, 0.507], [0.507, 0.164, 0.164], [0.164, 0.507, 0.164], [0.164, 0.164, 0.164]], "magnetic_moment_mub_per_fu": 0.0, "n_ef_per_ev_atom": 0.512, "spacegroup": "No. 225", "dft_energy_ev_per_atom": -0.64}

=====

19.
{"formula": "Na2BrCl", "functional": "PBE", "state": "relaxed", "lattice_angstrom": [[6.476, 0.000, 0.000], [0.000, 6.476, 0.000], [3.238, 3.238, 6.328]], "species": ["Na", "Na", "Na", "Na", "Br", "Br", "Cl", "Cl"], "fractional_positions": [[0.604, 0.125, 0.250], [0.146, 0.625, 0.250], [0.375, 0.396, 0.750], [0.875, 0.854, 0.750], [0.000, 0.000, 0.000], [0.750, 0.250, 0.500], [0.500, 0.500, 0.000], [0.250, 0.750, 0.500]], "magnetic_moment_mub_per_fu": 0.0, "n_ef_per_ev_atom": 0.000, "spacegroup": "No. 122", "dft_energy_ev_per_atom": -3.16}